Record 1
Density functional theory data (GGA-PBE) for a geometry-optimized LuHfPdAu structure.

abc: 4.838 4.838 4.838
angles: 60.00 60.00 60.00
Fractional coordinates of all 4 atoms:
Pd  0.000  0.000  0.000
Lu  0.750  0.750  0.750
Au  0.500  0.500  0.500
Hf  0.250  0.250  0.250

## Properties
formation energy from the elements	-0.679	eV/atom
E_tot	-25.66	eV per formula unit
SG	F-43m (216)
size of the total moment	0.00	μB per atom



Record 2
Density functional theory data (GGA-PBE) for a geometry-optimized LuHfRuAu structure.

abc: 4.776 4.776 4.776
angles: 60.00 60.00 60.00
Fractional coordinates of all 4 atoms:
Lu  0.500  0.500  0.500
Hf  0.000  0.000  0.000
Au  0.250  0.250  0.250
Ru  0.750  0.750  0.750

## Properties
formation energy from the elements	-0.561	eV/atom
E_tot	-29.27	eV per formula unit
SG	F-43m (216)
size of the total moment	0.00	μB per atom



Record 3
Density functional theory data (GGA-PBE) for a geometry-optimized HfMgAu3 structure.

abc: 5.206 5.206 5.206
angles: 90.00 90.00 90.00
Fractional coordinates of all 5 atoms:
Au  0.000  0.000  0.500
Au  0.000  0.500  0.000
Au  0.500  0.000  0.000
Mg  0.500  0.500  0.500
Hf  0.000  0.000  0.000

## Properties
formation energy from the elements	0.400	eV/atom
E_tot	-19.38	eV per formula unit
polymorph energy (0 for the lowest one)	0	meV per atom
SG	Pm-3m (221)
size of the total moment	0.00	μB per atom



Record 4
Density functional theory data (GGA-PBE) for a geometry-optimized HfMg2Au4 structure.

abc: 4.686 4.687 7.223
angles: 108.85 108.93 90.00
Fractional coordinates of all 7 atoms:
Hf  0.000  0.000  0.000
Au  0.121  0.621  0.241
Au  0.879  0.379  0.759
Au  0.621  0.124  0.241
Au  0.379  0.876  0.759
Mg  0.260  0.259  0.521
Mg  0.740  0.741  0.479

## Properties
formation energy from the elements	-0.435	eV/atom
E_tot	-29.30	eV per formula unit
SG	C2/m (12)
size of the total moment	0.00	μB per atom



Record 5
Density functional theory data (GGA-PBE) for a geometry-optimized HfMg2Au2 structure.

abc: 7.999 7.999 2.928
angles: 90.00 90.00 90.00
Fractional coordinates of all 10 atoms:
Mg  0.374  0.874  0.000
Mg  0.626  0.126  0.000
Mg  0.874  0.626  0.000
Mg  0.126  0.374  0.000
Au  0.327  0.173  0.500
Au  0.173  0.673  0.500
Au  0.827  0.327  0.500
Au  0.673  0.827  0.500
Hf  0.500  0.500  0.000
Hf  0.000  0.000  0.000

## Properties
formation energy from the elements	-0.307	eV/atom
E_tot	-21.23	eV per formula unit
polymorph energy (0 for the lowest one)	59	meV per atom
SG	P4/mbm (127)
size of the total moment	0.00	μB per atom



Record 6
Density functional theory data (GGA-PBE) for a geometry-optimized HfMg2Au6 structure.

abc: 5.004 8.385 8.385
angles: 73.43 82.01 82.01
Fractional coordinates of all 18 atoms:
Mg  0.584  0.456  0.206
Mg  0.416  0.544  0.794
Mg  0.916  0.794  0.544
Mg  0.084  0.206  0.456
Hf  0.750  0.867  0.133
Hf  0.250  0.133  0.867
Au  0.148  0.350  0.090
Au  0.352  0.910  0.650
Au  0.026  0.563  0.320
Au  0.695  0.231  0.987
Au  0.805  0.013  0.769
Au  0.305  0.769  0.013
Au  0.648  0.090  0.350
Au  0.974  0.437  0.680
Au  0.195  0.987  0.231
Au  0.852  0.650  0.910
Au  0.526  0.320  0.563
Au  0.474  0.680  0.437

## Properties
formation energy from the elements	-0.456	eV/atom
E_tot	-36.91	eV per formula unit
SG	C2/c (15)
size of the total moment	0.00	μB per atom



Record 7
Density functional theory data (GGA-PBE) for a geometry-optimized HfMg4Au5 structure.

abc: 3.306 3.306 16.839
angles: 90.00 90.00 90.00
Each line ends with the local moment (μB).
Fractional coordinates of all 10 atoms:
Mg  0.000  0.000  0.402  0.00
Mg  0.000  0.000  0.598  0.00
Mg  0.000  0.000  0.793  0.00
Mg  0.000  0.000  0.207  0.00
Hf  0.000  0.000  0.000  0.06
Au  0.500  0.500  0.896  0.00
Au  0.500  0.500  0.305  0.00
Au  0.500  0.500  0.500  0.00
Au  0.500  0.500  0.695  0.00
Au  0.500  0.500  0.104  0.00

## Properties
formation energy from the elements	-0.577	eV/atom
E_tot	-38.49	eV per formula unit
SG	P4/mmm (123)
size of the total moment	0.01	μB per atom



Record 8
Density functional theory data (GGA-PBE) for a geometry-optimized HfMg2Au2 structure.

abc: 7.380 7.380 3.672
angles: 90.00 90.00 90.00
Fractional coordinates of all 10 atoms:
Hf  0.500  0.500  0.000
Hf  0.000  0.000  0.000
Mg  0.340  0.160  0.500
Mg  0.840  0.340  0.500
Mg  0.160  0.660  0.500
Mg  0.660  0.840  0.500
Au  0.141  0.359  0.000
Au  0.641  0.141  0.000
Au  0.359  0.859  0.000
Au  0.859  0.641  0.000

## Properties
formation energy from the elements	-0.366	eV/atom
E_tot	-21.53	eV per formula unit
polymorph energy (0 for the lowest one)	0	meV per atom
SG	P4/mbm (127)
size of the total moment	0.00	μB per atom



Record 9
Density functional theory data (GGA-PBE) for a geometry-optimized HfMg5Au6 structure.

abc: 4.709 6.652 8.190
angles: 113.96 107.49 90.00
Fractional coordinates of all 12 atoms:
Au  0.163  0.415  0.328
Au  0.837  0.585  0.672
Au  0.837  0.088  0.672
Au  0.500  0.244  0.000
Au  0.163  0.912  0.328
Au  0.500  0.756  0.000
Hf  0.000  0.000  0.000
Mg  0.667  0.667  0.335
Mg  0.333  0.333  0.665
Mg  0.000  0.500  0.000
Mg  0.330  0.831  0.661
Mg  0.670  0.169  0.339

## Properties
formation energy from the elements	-0.582	eV/atom
E_tot	-44.58	eV per formula unit
SG	C2/m (12)
size of the total moment	0.00	μB per atom



Record 10
Density functional theory data (GGA-PBE) for a geometry-optimized HfMgAu4 structure.

abc: 6.495 6.495 7.689
angles: 114.98 114.98 90.00
Fractional coordinates of all 12 atoms:
Au  0.375  0.870  0.250
Au  0.620  0.125  0.750
Au  0.875  0.870  0.250
Au  0.875  0.380  0.250
Au  0.620  0.625  0.750
Au  0.130  0.625  0.750
Au  0.130  0.125  0.750
Au  0.375  0.380  0.250
Mg  0.500  0.500  0.000
Mg  0.250  0.750  0.500
Hf  0.000  0.000  0.000
Hf  0.750  0.250  0.500

## Properties
formation energy from the elements	-0.260	eV/atom
E_tot	-26.22	eV per formula unit
polymorph energy (0 for the lowest one)	292	meV per atom
SG	I4_1/amd (141)
size of the total moment	0.00	μB per atom



Record 11
Density functional theory data (GGA-PBE) for a geometry-optimized HfMgAu4 structure.

abc: 3.495 5.063 7.193
angles: 100.91 75.94 69.81
Fractional coordinates of all 6 atoms:
Hf  0.500  0.500  0.500
Mg  0.000  0.000  0.000
Au  0.168  0.494  0.170
Au  0.832  0.506  0.830
Au  0.670  0.993  0.667
Au  0.330  0.007  0.333

## Properties
formation energy from the elements	-0.551	eV/atom
E_tot	-27.97	eV per formula unit
polymorph energy (0 for the lowest one)	0	meV per atom
SG	C2/m (12)
size of the total moment	0.00	μB per atom



Record 12
Density functional theory data (GGA-PBE) for a geometry-optimized HfMg2Au2 structure.

abc: 3.886 3.886 7.095
angles: 74.11 74.11 90.00
Fractional coordinates of all 5 atoms:
Hf  0.000  0.000  0.000
Mg  0.250  0.750  0.500
Mg  0.750  0.250  0.500
Au  0.603  0.603  0.794
Au  0.397  0.397  0.206

## Properties
formation energy from the elements	-0.273	eV/atom
E_tot	-21.06	eV per formula unit
polymorph energy (0 for the lowest one)	93	meV per atom
SG	I4/mmm (139)
size of the total moment	0.00	μB per atom



Record 13
Density functional theory data (GGA-PBE) for a geometry-optimized Hf3MgAu structure.

abc: 5.147 5.147 5.147
angles: 90.00 90.00 90.00
Fractional coordinates of all 5 atoms:
Hf  0.000  0.000  0.500
Hf  0.500  0.000  0.000
Hf  0.000  0.500  0.000
Au  0.000  0.000  0.000
Mg  0.500  0.500  0.500

## Properties
formation energy from the elements	0.645	eV/atom
E_tot	-31.51	eV per formula unit
polymorph energy (0 for the lowest one)	0	meV per atom
SG	Pm-3m (221)
size of the total moment	0.00	μB per atom



Record 14
Density functional theory data (GGA-PBE) for a geometry-optimized HfMg2Au3 structure.

abc: 3.303 3.303 10.258
angles: 90.00 90.00 90.00
Each line ends with the local moment (μB).
Fractional coordinates of all 6 atoms:
Au  0.000  0.000  0.329  0.01
Au  0.000  0.000  0.000  0.00
Au  0.000  0.000  0.671  0.01
Mg  0.500  0.500  0.838  0.00
Mg  0.500  0.500  0.162  0.00
Hf  0.500  0.500  0.500  0.13

## Properties
formation energy from the elements	-0.558	eV/atom
E_tot	-26.32	eV per formula unit
SG	P4/mmm (123)
size of the total moment	0.04	μB per atom



Record 15
Density functional theory data (GGA-PBE) for a geometry-optimized HfMg2AuN structure.

abc: 4.285 4.285 4.360
angles: 90.00 90.00 90.00
Fractional coordinates of all 5 atoms:
N  0.000  0.000  0.000
Mg  0.500  0.000  0.000
Mg  0.000  0.500  0.000
Hf  0.000  0.000  0.500
Au  0.500  0.500  0.500

## Properties
E_tot	-28.12	eV per formula unit
SG	P4/mmm (123)
size of the total moment	0.00	μB per atom



Record 16
Density functional theory data (GGA-PBE) for a geometry-optimized HfMgNb2Au structure.

abc: 5.034 5.092 5.034
angles: 90.00 90.00 90.00
Fractional coordinates of all 5 atoms:
Nb  0.000  0.000  0.500
Nb  0.500  0.000  0.000
Mg  0.500  0.500  0.500
Au  0.000  0.000  0.000
Hf  0.000  0.500  0.000

## Properties
formation energy from the elements	1.143	eV/atom
E_tot	-29.25	eV per formula unit
SG	P4/mmm (123)
size of the total moment	0.00	μB per atom



Record 17
Density functional theory data (GGA-PBE) for a geometry-optimized HfMgNiAu structure.

abc: 4.585 4.585 4.585
angles: 60.00 60.00 60.00
Fractional coordinates of all 4 atoms:
Au  0.750  0.750  0.750
Ni  0.250  0.250  0.250
Mg  0.500  0.500  0.500
Hf  0.000  0.000  0.000

## Properties
formation energy from the elements	-0.419	eV/atom
E_tot	-22.28	eV per formula unit
SG	F-43m (216)
size of the total moment	0.00	μB per atom



Record 18
Density functional theory data (GGA-PBE) for a geometry-optimized Hf2MgNiAu structure.

abc: 5.028 4.177 5.028
angles: 90.00 90.00 90.00
Fractional coordinates of all 5 atoms:
Hf  0.500  0.000  0.000
Hf  0.000  0.000  0.500
Ni  0.000  0.500  0.000
Mg  0.000  0.000  0.000
Au  0.500  0.500  0.500

## Properties
formation energy from the elements	1.035	eV/atom
E_tot	-25.38	eV per formula unit
SG	P4/mmm (123)
size of the total moment	0.00	μB per atom



Record 19
Density functional theory data (GGA-PBE) for a geometry-optimized Hf2MgAuO structure.

abc: 4.216 5.209 4.216
angles: 90.00 90.00 90.00
Fractional coordinates of all 5 atoms:
O  0.000  0.000  0.000
Hf  0.000  0.000  0.500
Hf  0.500  0.000  0.000
Au  0.000  0.500  0.000
Mg  0.500  0.500  0.500

## Properties
E_tot	-33.67	eV per formula unit
SG	P4/mmm (123)
size of the total moment	0.00	μB per atom



Record 20
Density functional theory data (GGA-PBE) for a geometry-optimized HfMgPdAu structure.

abc: 4.672 4.672 4.672
angles: 60.00 60.00 60.00
Fractional coordinates of all 4 atoms:
Au  0.250  0.250  0.250
Mg  0.000  0.000  0.000
Hf  0.500  0.500  0.500
Pd  0.750  0.750  0.750

## Properties
formation energy from the elements	-0.630	eV/atom
E_tot	-22.54	eV per formula unit
SG	F-43m (216)
size of the total moment	0.00	μB per atom